## Nb2Se4O13 (PBEsol)

Data for an optimized crystal structure of Nb2Se4O13.

Unit cell a=6.673 b=7.579 c=11.464 alpha=109.82 beta=90.00 gamma=90.00
Fractional positions:
1 O 0.290 0.423 0.958
2 O 0.004 0.270 0.768
3 O 0.751 0.867 0.277
4 Nb 0.999 0.835 0.953
5 O 0.706 0.276 0.947
6 O 0.208 0.992 0.616
7 O 0.211 0.337 0.593
8 O 0.294 0.776 0.947
9 O 0.412 0.695 0.181
10 O 0.100 0.005 0.369
11 O 0.513 0.001 0.786
12 O 0.534 0.312 0.418
13 O 0.996 0.770 0.768
14 Se 0.925 0.058 0.283
15 O 0.979 0.449 0.135
16 O 0.249 0.367 0.277
17 Se 0.952 0.671 0.612
18 O 0.588 0.195 0.181
19 O 0.487 0.501 0.786
20 Nb 0.001 0.335 0.953
21 O 0.789 0.837 0.593
22 Se 0.452 0.592 0.945
23 O 0.079 0.101 0.950
24 O 0.710 0.923 0.958
25 O 0.792 0.492 0.616
26 Se 0.475 0.893 0.291
27 Nb 0.497 0.430 0.604
28 O 0.422 0.658 0.592
29 Se 0.548 0.092 0.945
30 O 0.466 0.812 0.418
31 Se 0.525 0.393 0.291
32 O 0.578 0.158 0.592
33 Se 0.048 0.171 0.612
34 O 0.021 0.949 0.135
35 O 0.921 0.601 0.950
36 Se 0.075 0.558 0.283
37 Nb 0.503 0.930 0.604
38 O 0.900 0.505 0.369

Properties
Formation energy without anion corrections   -1.384 eV/atom